Entry 1:
Na3Hg12Bi5 | GGA-PBE | relaxed

## Properties
**Space-group type**: Ia-3d
**Density of states at the Fermi level**: 58.19 states/eV per cell
**Energy of formation from the pure elements**: 0.11 eV per atom

Geometry as extended XYZ:
```
80
Lattice="-15.195 -0.676 0.787 5.900 -2.089 13.885 4.207 13.643 -5.304" Properties=species:S:1:pos:R:3 pbc="T T T"
Na -8.658 0.415 5.134
Na -8.345 -0.453 10.439
Na 1.357 6.707 7.394
Na -1.484 4.686 -0.057
Na -11.506 2.558 1.098
Na -0.959 1.852 7.647
Na -4.129 9.026 1.721
Na 6.419 8.320 8.270
Na -3.604 6.192 9.424
Na -6.444 4.171 1.974
Na 3.257 11.331 -1.071
Na 3.570 10.463 4.234
Bi 1.365 2.543 3.979
Bi 2.950 -1.045 6.942
Bi 0.000 0.000 0.000
Bi -3.697 0.930 3.103
Bi -5.494 6.484 -2.259
Bi -4.647 -1.383 7.336
Bi 4.104 3.465 8.523
Bi -6.978 11.170 -2.315
Bi -6.131 3.303 7.279
Bi -1.805 9.718 -1.947
Bi -3.282 1.160 11.315
Bi -2.544 5.439 4.684
Bi -7.598 -0.338 0.393
Bi 2.104 6.822 -2.652
Bi 1.043 7.575 2.089
Bi 1.890 -0.292 11.683
Bi 5.054 5.777 4.290
Bi -9.191 7.413 0.845
Bi -1.391 9.948 6.264
Bi -6.453 8.335 5.388
Hg -9.995 0.131 2.264
Hg 0.043 4.329 5.926
Hg -10.955 2.262 4.214
Hg -6.637 1.141 2.914
Hg -1.779 7.149 7.124
Hg -10.040 0.418 7.895
Hg 1.176 3.816 8.704
Hg 4.810 0.053 11.964
Hg -0.504 6.742 9.858
Hg -6.998 0.536 7.842
Hg -7.611 3.388 4.724
Hg -6.958 -1.552 13.079
Hg 4.480 6.124 7.293
Hg -2.506 0.061 5.663
Hg 5.603 2.824 10.986
Hg -2.977 7.312 -0.695
Hg 0.648 2.790 1.124
Hg -2.296 -0.603 9.160
Hg -6.171 1.155 11.931
Hg 0.529 0.115 5.439
Hg 3.364 8.265 9.147
Hg -3.238 3.898 7.255
Hg -6.677 5.391 9.296
Hg -5.821 11.248 0.402
Hg -1.850 6.980 2.113
Hg 1.590 5.486 0.072
Hg 0.733 -0.370 8.966
Hg 1.084 9.723 -2.564
Hg -8.452 2.612 0.220
Hg -5.617 10.763 3.928
Hg -2.792 11.481 0.208
Hg -2.111 3.566 10.063
Hg -5.736 8.088 8.243
Hg -10.691 8.054 -1.619
Hg -9.567 4.754 2.075
Hg 1.870 12.430 -3.712
Hg -2.581 10.817 3.704
Hg -4.584 4.136 -0.491
Hg 1.911 10.342 1.526
Hg 2.523 7.490 4.644
Hg -9.898 10.825 -2.596
Hg -6.264 7.062 0.664
Hg 1.550 9.737 6.453
Hg 4.952 10.460 1.472
Hg -3.308 3.729 2.243
Hg 5.867 8.616 5.153
Hg -5.130 6.549 3.442
Hg 4.907 10.747 7.104
```

---

Entry 2:
RbCd3Pd | GGA-PBE | relaxed

## Properties
**Space-group type**: C2
**Energy above the most stable polymorph in this dataset**: 7.4 kJ/mol of atoms
**Density of states at the Fermi level**: 3.35 states/eV per cell
**Energy of formation from the pure elements**: -0.12 eV per atom

Geometry as extended XYZ:
```
10
Lattice="7.200 0.068 0.105 1.402 6.881 0.083 2.824 3.036 5.789" Properties=species:S:1:pos:R:3 pbc="T T T"
Pd 6.947 2.364 1.884
Pd 4.755 6.064 3.565
Rb 7.731 7.722 5.205
Rb 1.777 5.652 1.273
Cd 9.710 4.753 4.913
Cd 2.227 2.179 0.379
Cd 3.461 8.557 3.352
Cd 7.004 4.264 3.988
Cd 6.040 7.662 1.633
Cd 4.464 3.440 2.783
```

---

Entry 3:
KRbCa | GGA-PBE | relaxed

## Properties
**Space-group type**: I4mm
**Energy above the most stable polymorph in this dataset**: 0.8 kJ/mol of atoms
**Density of states at the Fermi level**: 2.82 states/eV per cell
**Energy of formation from the pure elements**: 0.17 eV per atom

Geometry as extended XYZ:
```
3
Lattice="4.245 0.000 0.000 0.000 4.245 0.000 -2.123 -2.123 10.572" Properties=species:S:1:pos:R:3 pbc="T T T"
Ca 0.000 0.000 6.973
K 2.122 2.122 3.802
Rb 2.122 2.122 10.369
```

---

Entry 4:
K2Si2Ir | GGA-PBE | relaxed

## Properties
**Space-group type**: P4/mbm
**Energy relative to the elements, uncorrected**: -0.03 eV/atom
**Density of states at the Fermi level**: 7.77 states/eV per cell

Geometry as extended XYZ:
```
10
Lattice="-1.127 -3.675 -4.966 4.315 -4.082 2.042 -4.016 -2.765 2.958" Properties=species:S:1:pos:R:3 pbc="T T T"
K 0.733 -4.845 1.964
K 0.746 -7.228 -0.247
K -1.562 -5.678 -1.931
K -1.574 -3.295 0.280
Ir 0.000 0.000 0.000
Ir 1.594 -3.879 -1.462
Si 3.307 -4.839 -0.034
Si 1.788 -5.773 -2.970
Si -0.120 -2.918 -2.890
Si 1.400 -1.984 0.045
```

---

Entry 5:
HoPdRuPb | GGA-PBE | relaxed

## Properties
**Space-group type**: F-43m
**Density of states at the Fermi level**: 3.91 states/eV per cell
**Energy of formation from the pure elements**: -0.34 eV per atom

Geometry as extended XYZ:
```
4
Lattice="4.786 0.000 0.000 2.393 4.145 0.000 2.393 1.382 3.908" Properties=species:S:1:pos:R:3 pbc="T T T"
Pb 0.000 0.000 0.000
Ru 7.180 4.145 2.931
Ho 4.786 2.763 1.954
Pd 2.393 1.382 0.977
```

---

Entry 6:
CeBiAu2 | GGA-PBE | relaxed

## Properties
**Space-group type**: P4/mmm
**Energy above the most stable polymorph in this dataset**: 10.3 kJ/mol of atoms
**Density of states at the Fermi level**: 6.58 states/eV per cell
**Energy of formation from the pure elements**: -0.47 eV per atom

Geometry as extended XYZ:
```
4
Lattice="-0.561 2.997 -2.340 2.057 -1.749 -2.735 -5.594 -2.890 -2.359" Properties=species:S:1:pos:R:3 pbc="T T T"
Au -4.267 -2.204 -1.799
Au -1.328 -0.686 -0.560
Bi -2.049 -0.821 -3.717
Ce 0.748 0.624 -2.537
```

---

Entry 7:
Pm4Nd2Y2Er | GGA-PBE | relaxed

## Properties
**Space-group type**: C2/m
**Density of states at the Fermi level**: 11.89 states/eV per cell
**Energy of formation from the pure elements**: 0.01 eV per atom

Geometry as extended XYZ:
```
9
Lattice="-1.167 -1.951 -2.872 9.472 0.427 -1.803 -2.750 -7.156 5.979" Properties=species:S:1:pos:R:3 pbc="T T T"
Pm 3.175 -6.091 0.512
Pm 2.380 -2.589 0.792
Pm -1.170 -3.376 0.433
Pm 6.725 -5.304 0.871
Nd 5.946 -0.372 -2.163
Nd -0.391 -8.308 3.467
Y 4.769 -3.751 -1.726
Y 0.786 -4.929 3.029
Er 0.000 0.000 0.000
```

---

Entry 8:
CoCuOs2 | GGA-PBE | relaxed

## Properties
**Space-group type**: P4/mmm
**Energy above the most stable polymorph in this dataset**: 19.9 kJ/mol of atoms
**Density of states at the Fermi level**: 6.23 states/eV per cell
**Energy of formation from the pure elements**: 0.44 eV per atom

Geometry as extended XYZ:
```
4
Lattice="-0.897 1.032 -3.494 3.449 -0.796 -1.120 -1.050 -3.480 -0.758" Properties=species:S:1:pos:R:3 pbc="T T T"
Co 1.276 0.118 -2.307
Cu -0.973 -1.224 -2.126
Os 0.000 0.000 0.000
Os 1.200 -2.138 -0.939
```